! PBE CoHg2Se, optimized geometry; values from VASP
! Raw formation energy (eV per formula unit): 0.8
! Total moment (μB/f.u.): 1.29
&SYSTEM
  ibrav = 0, nat = 4, ntyp = 3
/
ATOMIC_SPECIES
Co 58.93 Co.upf
Hg 200.59 Hg.upf
Se 78.96 Se.upf
CELL_PARAMETERS angstrom
-1.480 1.958 7.174
1.480 -1.958 7.174
1.480 1.958 -7.174
ATOMIC_POSITIONS crystal
Co 0.000 0.000 0.000
Hg 0.178 0.678 0.500
Hg 0.822 0.322 0.500
Se 0.500 0.500 0.000